DFT (PBE-GGA) results for crystalline CoGe3S at its relaxed geometry.

As for the raw formation energy: 32 kJ/mol of formula units. The space group is Pm-3m.

Structure (POSCAR):
```
CoGe3S
1.0
4.528 0.000 0.000
0.000 4.528 0.000
0.000 0.000 4.528
Co Ge S
1 3 1
Cartesian
0.000 0.000 0.000
0.000 0.000 2.264
0.000 2.264 0.000
2.264 0.000 0.000
2.264 2.264 2.264
```